Computed, not measured: a relaxed Tl5Hg2Sb crystal at the PBE level of DFT.

Lattice parameters (Å, degrees): 6.814 13.138 5.402 90.00 90.00 90.00
Space group Pbam (No. 55)
Symmetry-distinct sites (fractional):
Tl 0.000 0.000 0.000
Tl 0.128 0.264 0.000
Tl 0.177 0.608 0.500
Hg 0.161 0.862 0.500
Sb 0.000 0.500 0.000

Properties
**Magnetic moment**: 0.00 μB/cell
**E above lowest polymorph**: 0.0000 eV per atom
**E_tot**: -2.079 eV/atom

---

Computed, not measured: a relaxed TlHg2Sb crystal at the PBE level of DFT.

Lattice parameters (Å, degrees): 5.547 5.547 3.579 90.00 90.00 90.00
Space group P4/mmm (No. 123)
Symmetry-distinct sites (fractional):
Tl 0.000 0.000 0.000
Hg 0.000 0.500 0.500
Sb 0.500 0.500 0.000

Properties
**Magnetic moment**: 0.00 μB/cell
**E_tot**: -1.675 eV/atom